{
  "formula": "ZnFe2Rh5",
  "functional": "PBE-GGA",
  "state": "optimized geometry",
  "ef_ev_per_atom": -0.084,
  "magnetic_moment_mub_per_cell": 5.8,
  "n_ef_per_ev_atom": 1.1997,
  "lattice_angstrom": [[3.567, 0.000, -1.338], [-0.502, 3.532, -1.338], [0.909, 1.047, 7.850]],
  "species": ["Fe", "Fe", "Zn", "Rh", "Rh", "Rh", "Rh", "Rh"],
  "frac_coords": [[0.752, 0.752, 0.503], [0.248, 0.248, 0.497], [0.000, 0.000, 0.000], [0.131, 0.631, 0.261], [0.869, 0.369, 0.739], [0.631, 0.131, 0.261], [0.500, 0.500, 0.000], [0.369, 0.869, 0.739]]
}